# PBE-GGA As2PbSeN, optimized geometry
data_As2PbSeN
_cell_length_a 5.577
_cell_length_b 5.577
_cell_length_c 5.586
_cell_angle_alpha 90.00
_cell_angle_beta 90.00
_cell_angle_gamma 90.00
_space_group_name_H-M_alt 'P 4/m m m'
_space_group_IT_number 123
_space_group_name_Hall '-P 4 2'
loop_
_atom_site_label
_atom_site_type_symbol
_atom_site_fract_x
_atom_site_fract_y
_atom_site_fract_z
As1 As 0.000 0.500 0.000
Pb1 Pb 0.000 0.000 0.000
Se1 Se 0.000 0.000 0.500
N1 N 0.500 0.500 0.500
# crystal system	tetragonal
# raw total energy	-15.17	eV per cell